First-principles (GGA-PBEsol) data for NbInTeBr2 after structural relaxation, as listed in Alexandria.

a = 5.8744 Å, b = 5.8744 Å, c = 5.2995 Å
α = 90.00°, β = 90.00°, γ = 90.00°
Space group P4/mmm (No. 123)
Symmetry-distinct sites (fractional):
1 Nb 0.0000 0.0000 0.0000 [1 per cell]
2 In 0.5000 0.5000 0.0000 [1 per cell]
3 Te 0.0000 0.0000 0.5000 [1 per cell]
4 Br 0.0000 0.5000 0.5000 [2 per cell]

Results
Formation energy (no corrections) (meV per atom): 658
N(E_F) (states/eV/cell): 4.50

First-principles (GGA-PBEsol) data for InNiBr4 after structural relaxation, as listed in Alexandria.

a = 8.6989 Å, b = 8.6989 Å, c = 8.6989 Å
α = 90.00°, β = 90.00°, γ = 90.00°
Space group F-43m (No. 216)
Symmetry-distinct sites (fractional):
1 In 0.0000 0.0000 0.0000 [4 per cell]
2 Ni 0.2500 0.2500 0.7500 [4 per cell]
3 Br 0.1240 0.1240 0.3760 [16 per cell]

Results
Formation energy (no corrections) (meV per atom): 780
N(E_F) (states/eV/cell): 48.73

First-principles (GGA-PBEsol) data for In3NiBr after structural relaxation, as listed in Alexandria.

a = 4.9470 Å, b = 4.9470 Å, c = 4.9470 Å
α = 90.00°, β = 90.00°, γ = 90.00°
Space group Pm-3m (No. 221)
Symmetry-distinct sites (fractional):
1 In 0.0000 0.0000 0.5000 [3 per cell]
2 Ni 0.0000 0.0000 0.0000 [1 per cell]
3 Br 0.5000 0.5000 0.5000 [1 per cell]

Results
Formation energy (no corrections) (meV per atom): -321
N(E_F) (states/eV/cell): 0.45

> Look up the formation energy (no corrections) of the second one.

780 meV per atom

Repeat the third record exactly.
First-principles (GGA-PBEsol) data for In3NiBr after structural relaxation, as listed in Alexandria.

a = 4.9470 Å, b = 4.9470 Å, c = 4.9470 Å
α = 90.00°, β = 90.00°, γ = 90.00°
Space group Pm-3m (No. 221)
Symmetry-distinct sites (fractional):
1 In 0.0000 0.0000 0.5000 [3 per cell]
2 Ni 0.0000 0.0000 0.0000 [1 per cell]
3 Br 0.5000 0.5000 0.5000 [1 per cell]

Results
Formation energy (no corrections) (meV per atom): -321
N(E_F) (states/eV/cell): 0.45